# CoMoW2

CoMoW2 after structural relaxation (GGA-PBE, Alexandria via LeMat-Bulk).

* D(E_F): 7.4 states/eV per cell
* total magnetic moment: 0.000 μB/f.u.
* crystal system: monoclinic
* DFT formation energy: 25 kJ/mol of atoms
* final energy: -10.70 eV/atom
* polymorph energy (0 for the lowest one): 186.0 meV per atom

Geometry as CIF:
```
data_CoMoW2
_cell_length_a 9.226
_cell_length_b 2.701
_cell_length_c 4.850
_cell_angle_alpha 90.00
_cell_angle_beta 100.66
_cell_angle_gamma 90.00
_space_group_name_H-M_alt 'C 1 m 1'
_space_group_IT_number 8
_space_group_name_Hall 'C -2y'
loop_
_atom_site_label
_atom_site_type_symbol
_atom_site_fract_x
_atom_site_fract_y
_atom_site_fract_z
Co1 Co 0.000 0.000 0.000
Mo1 Mo 0.267 0.000 0.761
W1 W 0.233 0.500 0.231
W2 W 0.499 0.000 0.499
```